{"formula": "Np3Ge5S12", "functional": "PBE", "state": "relaxed", "cell": [[-7.6804, 7.6804, 7.6804], [7.6804, -7.6804, 7.6804], [7.6804, 7.6804, -7.6804]], "species": ["Np", "Np", "Np", "Np", "Np", "Np", "Np", "Np", "Np", "Np", "Np", "Np", "Ge", "Ge", "Ge", "Ge", "Ge", "Ge", "Ge", "Ge", "Ge", "Ge", "Ge", "Ge", "Ge", "Ge", "Ge", "Ge", "Ge", "Ge", "Ge", "Ge", "S", "S", "S", "S", "S", "S", "S", "S", "S", "S", "S", "S", "S", "S", "S", "S", "S", "S", "S", "S", "S", "S", "S", "S", "S", "S", "S", "S", "S", "S", "S", "S", "S", "S", "S", "S", "S", "S", "S", "S", "S", "S", "S", "S", "S", "S", "S", "S"], "frac_coords": [[0.1250, 0.2500, 0.3750], [0.1250, 0.3750, 0.7500], [0.2500, 0.3750, 0.1250], [0.2500, 0.8750, 0.6250], [0.3750, 0.1250, 0.2500], [0.3750, 0.7500, 0.1250], [0.6250, 0.2500, 0.8750], [0.6250, 0.8750, 0.7500], [0.7500, 0.1250, 0.3750], [0.7500, 0.6250, 0.8750], [0.8750, 0.6250, 0.2500], [0.8750, 0.7500, 0.6250], [0.0000, 0.0000, 0.0000], [0.0000, 0.0000, 0.5000], [0.0000, 0.5000, 0.0000], [0.0000, 0.5000, 0.5000], [0.1250, 0.7500, 0.8750], [0.1250, 0.8750, 0.2500], [0.2500, 0.1250, 0.8750], [0.2500, 0.6250, 0.3750], [0.3750, 0.2500, 0.6250], [0.3750, 0.6250, 0.7500], [0.5000, 0.0000, 0.0000], [0.5000, 0.0000, 0.5000], [0.5000, 0.5000, 0.0000], [0.5000, 0.5000, 0.5000], [0.6250, 0.3750, 0.2500], [0.6250, 0.7500, 0.3750], [0.7500, 0.3750, 0.6250], [0.7500, 0.8750, 0.1250], [0.8750, 0.1250, 0.7500], [0.8750, 0.2500, 0.1250], [0.0373, 0.2186, 0.1311], [0.0373, 0.3187, 0.9062], [0.0874, 0.7186, 0.6813], [0.0874, 0.8689, 0.4062], [0.0938, 0.6311, 0.4126], [0.0938, 0.9627, 0.6813], [0.1311, 0.0373, 0.2186], [0.1311, 0.5938, 0.9126], [0.1813, 0.2186, 0.5874], [0.1813, 0.4627, 0.5938], [0.2186, 0.1311, 0.0373], [0.2186, 0.5874, 0.1813], [0.2814, 0.3187, 0.9126], [0.2814, 0.4627, 0.3689], [0.3187, 0.9062, 0.0373], [0.3187, 0.9126, 0.2814], [0.3689, 0.2814, 0.4627], [0.3689, 0.5874, 0.9062], [0.4062, 0.0874, 0.8689], [0.4062, 0.8187, 0.5373], [0.4126, 0.0938, 0.6311], [0.4126, 0.8187, 0.7814], [0.4627, 0.3689, 0.2814], [0.4627, 0.5938, 0.1813], [0.5373, 0.4062, 0.8187], [0.5373, 0.6311, 0.7186], [0.5874, 0.1813, 0.2186], [0.5874, 0.9062, 0.3689], [0.5938, 0.1813, 0.4627], [0.5938, 0.9126, 0.1311], [0.6311, 0.4126, 0.0938], [0.6311, 0.7186, 0.5373], [0.6813, 0.0874, 0.7186], [0.6813, 0.0938, 0.9627], [0.7186, 0.5373, 0.6311], [0.7186, 0.6813, 0.0874], [0.7814, 0.4126, 0.8187], [0.7814, 0.8689, 0.9627], [0.8187, 0.5373, 0.4062], [0.8187, 0.7814, 0.4126], [0.8689, 0.4062, 0.0874], [0.8689, 0.9627, 0.7814], [0.9062, 0.0373, 0.3187], [0.9062, 0.3689, 0.5874], [0.9126, 0.1311, 0.5938], [0.9126, 0.2814, 0.3187], [0.9627, 0.6813, 0.0938], [0.9627, 0.7814, 0.8689]], "crystal_system": "cubic", "m_tot_mub_per_cell": 46.58, "formation_energy_uncorrected_ev_per_atom": -0.642}